[1]
A relaxed IrO crystal, computed with PBE-GGA.

Output
* mass density: 15571 kg/m³
* E: -6.24 eV per atom

Cell lengths 2.7187, 2.7187, 3.4689 Å; angles 90.00, 90.00, 120.00 degrees
With the nearest neighbours (Å) after each atom.
Space group P-6m2 (No. 187)
One atom of each set of equivalent atoms:
Ir 0.0000 0.0000 0.0000 (multiplicity 1)  6 O 2.34
O 0.6667 0.3333 0.5000 (multiplicity 1)  6 Ir 2.34

---

[2]
A relaxed Ir4O11 crystal, computed with PBE-GGA.

Output
* mass density: 8065 kg/m³
* E: -6.36 eV per atom
* energy relative to the lowest polymorph listed for this composition: 1.36 eV/f.u.

Cell lengths 4.6903, 5.1399, 8.4364 Å; angles 86.62, 75.08, 81.98 degrees
With the nearest neighbours (Å) after each atom.
Space group P1 (No. 1)
One atom of each set of equivalent atoms:
Ir 0.0000 0.0000 0.0000 (multiplicity 1)  4 O 1.84-2.05
Ir 0.1000 0.2485 0.4418 (multiplicity 1)  6 O 1.88-2.07
Ir 0.3194 0.7342 0.2520 (multiplicity 1)  6 O 1.89-1.98
Ir 0.7141 0.2648 0.7913 (multiplicity 1)  3 O 1.76-1.96
O 0.0812 0.0779 0.2286 (multiplicity 1)  3 Ir 1.98-2.13
O 0.0964 0.3599 0.6552 (multiplicity 1)  2 Ir 1.92-1.97
O 0.2299 0.6531 0.0559 (multiplicity 1)  2 Ir 1.89-2.05, 1 O 2.09
O 0.3177 0.9128 0.4488 (multiplicity 1)  2 Ir 1.88-1.94
O 0.3380 0.1517 0.8996 (multiplicity 1)  2 Ir 1.85-1.92
O 0.4650 0.3936 0.3220 (multiplicity 1)  2 Ir 1.91-1.97
O 0.6351 0.5753 0.8814 (multiplicity 1)  1 Ir 1.76
O 0.6661 0.8706 0.1258 (multiplicity 1)  2 Ir 1.84-1.90
O 0.7126 0.1805 0.5686 (multiplicity 1)  2 Ir 1.92-1.96
O 0.9398 0.9113 0.7968 (multiplicity 1)  2 Ir 1.90-1.98
O 0.9606 0.5906 0.3680 (multiplicity 1)  2 Ir 1.92-1.94

---

[3]
A relaxed IrO2 crystal, computed with PBE-GGA.

Output
* mass density: 12419 kg/m³
* E: -6.64 eV per atom

Cell lengths 4.9314, 4.9314, 4.9314 Å; angles 90.00, 90.00, 90.00 degrees
With the nearest neighbours (Å) after each atom.
Space group Fm-3m (No. 225)
One atom of each set of equivalent atoms:
Ir 0.0000 0.0000 0.0000 (multiplicity 4)  8 O 2.14
O 0.2500 0.2500 0.2500 (multiplicity 8)  4 Ir 2.14

---

[4]
A relaxed Ir2O crystal, computed with PBE-GGA.

Output
* mass density: 7851 kg/m³
* E: -6.05 eV per atom
* energy relative to the lowest polymorph listed for this composition: 1.11 eV/f.u.

Cell lengths 8.7831, 8.7831, 8.7831 Å; angles 90.00, 90.00, 90.00 degrees
With the nearest neighbours (Å) after each atom.
Space group Fd-3m (No. 227, origin choice 2)
One atom of each set of equivalent atoms:
Ir 0.0000 0.0000 0.0000 (multiplicity 16)  2 O 1.90
O 0.1250 0.1250 0.1250 (multiplicity 8)  4 Ir 1.90

---

[5]
A relaxed Ir2O crystal, computed with PBE-GGA.

Output
* mass density: 16251 kg/m³
* E: -6.42 eV per atom
* energy relative to the lowest polymorph listed for this composition: 0.00 eV/f.u.

Cell lengths 4.6886, 4.6886, 3.7226 Å; angles 90.00, 90.00, 90.00 degrees
With the nearest neighbours (Å) after each atom.
Space group P4_2/mnm (No. 136)
One atom of each set of equivalent atoms:
Ir 0.1908 0.1908 0.0000 (multiplicity 4)  3 O 2.05-2.25
O 0.0000 0.0000 0.5000 (multiplicity 2)  6 Ir 2.05-2.25

---

[6]
A relaxed Ir2O crystal, computed with PBE-GGA.

Output
* mass density: 16598 kg/m³
* E: -6.35 eV per atom
* energy relative to the lowest polymorph listed for this composition: 0.20 eV/f.u.

Cell lengths 5.4316, 5.4316, 5.4316 Å; angles 90.00, 90.00, 90.00 degrees
With the nearest neighbours (Å) after each atom.
Space group Fm-3m (No. 225)
One atom of each set of equivalent atoms:
Ir 0.2500 0.2500 0.2500 (multiplicity 8)  4 O 2.35
O 0.0000 0.0000 0.0000 (multiplicity 4)  8 Ir 2.35

---

[7]
A relaxed Ir4O11 crystal, computed with PBE-GGA.

Output
* mass density: 7674 kg/m³
* E: -6.35 eV per atom
* energy relative to the lowest polymorph listed for this composition: 1.39 eV/f.u.

Cell lengths 4.7192, 5.1431, 8.7953 Å; angles 81.54, 77.95, 80.40 degrees
With the nearest neighbours (Å) after each atom.
Space group P1 (No. 1)
One atom of each set of equivalent atoms:
Ir 0.0000 0.0000 0.0000 (multiplicity 1)  5 O 1.91-1.98
Ir 0.1487 0.4982 0.8354 (multiplicity 1)  5 O 1.90-1.95
Ir 0.4957 0.4540 0.5074 (multiplicity 1)  6 O 1.90-1.96
Ir 0.6629 0.9753 0.3305 (multiplicity 1)  6 O 1.91-1.95
O 0.0350 0.0588 0.2048 (multiplicity 1)  2 Ir 1.91-1.95
O 0.1400 0.3669 0.6391 (multiplicity 1)  2 Ir 1.91-1.95
O 0.2247 0.6558 0.0085 (multiplicity 1)  2 Ir 1.91-1.95
O 0.3277 0.8115 0.4458 (multiplicity 1)  2 Ir 1.92-1.94
O 0.4368 0.3234 0.3236 (multiplicity 1)  2 Ir 1.92-1.93
O 0.5276 0.5290 0.7145 (multiplicity 1)  2 Ir 1.90-1.96
O 0.6113 0.9493 0.1219 (multiplicity 1)  2 Ir 1.93-1.96
O 0.7243 0.1128 0.5150 (multiplicity 1)  2 Ir 1.90-1.95
O 0.8078 0.3469 0.9387 (multiplicity 1)  2 Ir 1.90-1.92
O 0.8310 0.6214 0.3932 (multiplicity 1)  2 Ir 1.91-1.95
O 0.9573 0.8546 0.8113 (multiplicity 1)  2 Ir 1.91-1.98

---

[8]
A relaxed IrO2 crystal, computed with PBE-GGA.

Output
* mass density: 4563 kg/m³
* E: -6.28 eV per atom

Cell lengths 8.6746, 8.6746, 8.6746 Å; angles 90.00, 90.00, 90.00 degrees
With the nearest neighbours (Å) after each atom.
Space group Fd-3m (No. 227, origin choice 2)
One atom of each set of equivalent atoms:
Ir 0.1250 0.1250 0.1250 (multiplicity 8)  4 O 1.88
O 0.0000 0.0000 0.0000 (multiplicity 16)  2 Ir 1.88